VASP calculation (PBE-GGA) on a geometry-optimized K2LiHgS structure.

As for the mass density: 2.948 g/cm3. The calculation puts the formation energy from raw total energies at -0.66 eV/atom. The calculation puts the magnetization at 0.12 μB/cell. The calculation puts the volume at 179 Å³ per cell. The calculation puts the total energy at -2.372 eV/atom.

The space group is P4/mmm (No. 123) and the conventional cell measures 6.289, 6.289 and 4.525 Å, with angles of 90.00, 90.00 and 90.00 degrees. The distinct sites, in fractional coordinates, are K at (0.000, 0.500, 0.000), Li at (0.000, 0.000, 0.500), Hg at (0.500, 0.500, 0.500) and S at (0.000, 0.000, 0.000).